No. 1
VASP calculation (PBE-GGA) on a geometry-optimized KMgGe2O6 structure.

Computed properties:
* total magnetization: 1.94 μB/cell
* calculated total energy: -5.878 eV per atom
* ΔE_f (raw): -1710.2 meV per atom

Lattice parameters (Å, degrees): 7.335 7.335 5.127 94.25 94.25 94.27
Sites, in units of the cell vectors:
K 0.085 0.915 0.750
K 0.915 0.085 0.250
Mg 0.277 0.723 0.250
Mg 0.723 0.277 0.750
Ge 0.215 0.390 0.716
Ge 0.390 0.215 0.216
Ge 0.610 0.785 0.784
Ge 0.785 0.610 0.284
O 0.004 0.270 0.720
O 0.222 0.612 0.875
O 0.270 0.004 0.220
O 0.277 0.402 0.380
O 0.388 0.778 0.625
O 0.402 0.277 0.880
O 0.598 0.723 0.120
O 0.612 0.222 0.375
O 0.723 0.598 0.620
O 0.730 0.996 0.780
O 0.778 0.388 0.125
O 0.996 0.730 0.280

No. 2
VASP calculation (PBE-GGA) on a geometry-optimized Ba2Tl2Ge3 structure.

Computed properties:
* total magnetization: 0.00 μB/cell
* ΔH_f (0 K): -0.3293 eV per atom
* calculated total energy: -3.534 eV per atom
* DOS(E_F): 2.7 states/eV/cell

Lattice parameters (Å, degrees): 6.746 6.746 7.426 106.40 106.40 41.08
Sites, in units of the cell vectors:
Ba 0.134 0.134 0.276
Ba 0.866 0.866 0.724
Tl 0.167 0.167 0.770
Tl 0.833 0.833 0.230
Ge 0.428 0.428 0.092
Ge 0.500 0.500 0.500
Ge 0.572 0.572 0.908

No. 3
VASP calculation (PBE-GGA) on a geometry-optimized Sm4Ru2Rh structure.

Computed properties:
* total magnetization: 0.00 μB/cell
* ΔH_f (0 K): -0.3306 eV per atom
* calculated total energy: -6.728 eV per atom
* DOS(E_F): 5.5 states/eV/cell

Lattice parameters (Å, degrees): 8.431 8.431 8.431 33.90 33.90 33.90
Sites, in units of the cell vectors:
Sm 0.123 0.123 0.123
Sm 0.374 0.374 0.374
Sm 0.626 0.626 0.626
Sm 0.877 0.877 0.877
Ru 0.249 0.249 0.249
Ru 0.751 0.751 0.751
Rh 0.500 0.500 0.500

No. 4
VASP calculation (PBE-GGA) on a geometry-optimized AcPr8Tm2 structure.

Computed properties:
* polymorph energy (0 for the lowest one): 0.0 meV/atom
* total magnetization: 0.00 μB/cell
* ΔH_f (0 K): 0.1162 eV per atom
* calculated total energy: -4.546 eV per atom
* DOS(E_F): 16.3 states/eV/cell

Lattice parameters (Å, degrees): 9.641 9.641 9.641 145.72 126.65 64.95
Sites, in units of the cell vectors:
Ac 0.000 0.000 0.000
Pr 0.153 0.854 0.298
Pr 0.161 0.661 0.500
Pr 0.299 0.500 0.799
Pr 0.444 0.146 0.298
Pr 0.556 0.854 0.702
Pr 0.701 0.500 0.201
Pr 0.839 0.339 0.500
Pr 0.847 0.146 0.702
Tm 0.299 0.299 0.000
Tm 0.701 0.701 0.000

No. 5
VASP calculation (PBE-GGA) on a geometry-optimized AcTb5Ho structure.

Computed properties:
* total magnetization: 0.00 μB/cell
* ΔH_f (0 K): 0.0987 eV per atom
* calculated total energy: -4.450 eV per atom
* DOS(E_F): 20.8 states/eV/cell

Lattice parameters (Å, degrees): 6.639 6.639 11.546 102.90 102.90 95.97
Sites, in units of the cell vectors:
Ac 0.000 0.500 0.000
Ac 0.500 0.000 0.500
Tb 0.064 0.274 0.535
Tb 0.074 0.926 0.250
Tb 0.274 0.064 0.035
Tb 0.296 0.447 0.330
Tb 0.447 0.296 0.830
Tb 0.553 0.704 0.170
Tb 0.704 0.553 0.670
Tb 0.726 0.936 0.965
Tb 0.926 0.074 0.750
Tb 0.936 0.726 0.465
Ho 0.265 0.735 0.750
Ho 0.735 0.265 0.250